1.
! Er2MgNpN4, optimized geometry, DFT PBE; values from VASP
! Uncorrected formation energy: -1.355 eV/atom
! Raw total energy: -67.80 eV for the cell shown
! Space-group type: P2/m
&SYSTEM
  ibrav = 0, nat = 8, ntyp = 4
/
ATOMIC_SPECIES
Er 167.26 Er.upf
Mg 24.30 Mg.upf
Np 237.00 Np.upf
N 14.01 N.upf
ATOMIC_POSITIONS angstrom
Er -0.128 2.931 1.658
Er 2.550 0.971 2.038
Mg 0.461 -1.514 2.941
Np 0.000 0.000 0.000
N 0.163 0.685 2.301
N 2.720 1.703 4.337
N 2.228 3.304 1.353
N 2.873 -1.362 2.724
CELL_PARAMETERS angstrom
-2.217 0.446 2.561
3.139 -3.474 3.322
1.961 5.416 0.755

2.
! Er2Mg3NpN6, optimized geometry, DFT PBE; values from VASP
! Uncorrected formation energy: -1.216 eV/atom
! Raw total energy: -91.39 eV for the cell shown
! Space-group type: C2/m
&SYSTEM
  ibrav = 0, nat = 12, ntyp = 4
/
ATOMIC_SPECIES
Er 167.26 Er.upf
Mg 24.30 Mg.upf
Np 237.00 Np.upf
N 14.01 N.upf
ATOMIC_POSITIONS angstrom
Er -0.009 3.352 0.001
Er 2.907 1.667 0.001
Mg -1.977 3.374 2.603
Mg 3.911 -0.026 2.603
Mg 0.967 1.674 2.603
Np 0.000 0.000 0.000
N 2.844 1.778 3.935
N 2.000 3.463 1.212
N -0.911 1.570 1.270
N 0.119 3.352 3.935
N -0.067 -0.116 3.994
N 1.815 -0.004 1.270
CELL_PARAMETERS angstrom
5.807 -0.007 0.001
-2.908 5.026 0.001
-0.965 -1.671 5.203

3.
! ErMg3Pa3N8, optimized geometry, DFT PBE; values from VASP
! Uncorrected formation energy: -1.211 eV/atom
! Raw total energy: -122.60 eV for the cell shown
! Space-group type: R-3m
&SYSTEM
  ibrav = 0, nat = 15, ntyp = 4
/
ATOMIC_SPECIES
Er 167.26 Er.upf
Mg 24.30 Mg.upf
Pa 231.04 Pa.upf
N 14.01 N.upf
ATOMIC_POSITIONS angstrom
Er 0.000 -2.001 2.574
Mg 0.000 0.000 0.000
Mg -1.741 3.017 -0.011
Mg 1.742 3.017 -0.011
Pa 3.483 -2.001 2.574
Pa 1.741 1.016 2.563
Pa -1.742 1.016 2.563
N 0.000 2.018 1.267
N 3.483 0.015 3.859
N 3.483 1.996 1.448
N 0.000 0.037 3.679
N 5.205 -0.987 1.459
N -1.722 3.020 3.667
N 1.761 -0.987 1.459
N 1.722 3.020 3.667
CELL_PARAMETERS angstrom
6.966 0.000 0.000
-3.483 6.035 -0.021
0.000 -4.002 5.148

4.
! Er2MgPaN4, optimized geometry, DFT PBE; values from VASP
! Uncorrected formation energy: -1.502 eV/atom
! Raw total energy: -65.53 eV for the cell shown
! Space-group type: P2/m
&SYSTEM
  ibrav = 0, nat = 8, ntyp = 4
/
ATOMIC_SPECIES
Er 167.26 Er.upf
Mg 24.30 Mg.upf
Pa 231.04 Pa.upf
N 14.01 N.upf
ATOMIC_POSITIONS angstrom
Er 1.725 -0.988 2.775
Er 0.000 1.892 2.845
Mg 0.000 0.000 0.000
Pa 1.725 2.880 0.070
N 1.725 1.033 1.381
N 1.725 2.751 4.309
N 0.000 -0.043 4.222
N 0.000 3.827 1.469
CELL_PARAMETERS angstrom
3.449 0.000 0.000
0.000 5.760 0.140
0.000 -1.975 5.550

5.
! ErMg2PaN4, optimized geometry, DFT PBE; values from VASP
! Uncorrected formation energy: -1.321 eV/atom
! Raw total energy: -61.12 eV for the cell shown
! Space-group type: P2/m
&SYSTEM
  ibrav = 0, nat = 8, ntyp = 4
/
ATOMIC_SPECIES
Er 167.26 Er.upf
Mg 24.30 Mg.upf
Pa 231.04 Pa.upf
N 14.01 N.upf
ATOMIC_POSITIONS angstrom
Er 1.730 2.773 -0.029
Mg 0.000 2.000 5.507
Mg 1.730 1.000 2.753
Pa 0.000 3.773 2.725
N 0.000 5.589 4.057
N 3.459 1.957 1.392
N 1.730 4.637 1.403
N 1.730 2.909 4.046
CELL_PARAMETERS angstrom
3.459 0.000 0.000
0.000 5.546 -0.058
0.000 2.000 5.507

6.
! ErPuMg2N4, optimized geometry, DFT PBE; values from VASP
! Uncorrected formation energy: -1.109 eV/atom
! Raw total energy: -64.26 eV for the cell shown
! Space-group type: P2/m
&SYSTEM
  ibrav = 0, nat = 8, ntyp = 4
/
ATOMIC_SPECIES
Er 167.26 Er.upf
Pu 244.00 Pu.upf
Mg 24.30 Mg.upf
N 14.01 N.upf
ATOMIC_POSITIONS angstrom
Er -2.833 -1.738 0.382
Pu 0.000 0.000 0.000
Mg 1.322 -1.724 2.404
Mg -0.038 -3.253 -0.243
N -0.734 -1.701 1.406
N -0.815 -5.014 1.137
N 2.173 -3.239 0.833
N -2.248 -3.267 -1.319
CELL_PARAMETERS angstrom
-1.473 -0.209 3.029
-4.193 -3.267 -2.265
4.117 -3.239 1.779